Density functional theory data (GGA-PBE) for an optimized crystal structure of K2HgSbCl6.

- Formation energy from raw total energies: -1.188 eV per atom
- Electronic total energy: -2.9575 eV/atom
- M_tot: 0.00 μB per cell

Unit cell a=7.6094 b=7.6094 c=19.6404 alpha=90.00 beta=90.00 gamma=120.00
With the nearest neighbours (Å) after each atom.
Space group R3 (No. 146, hexagonal axes)
Asymmetric unit:
K1 0.0000 0.0000 0.0000  6 Cl 3.21-3.29
K2 0.0000 0.0000 0.4936  6 Cl 3.24-3.33
Hg1 0.0000 0.0000 0.2103  6 Cl 2.96-3.04
Sb1 0.0000 0.0000 0.7064  6 Cl 2.66
Cl1 0.0150 0.4173 0.4483  1 Sb 2.66
Cl2 0.0881 0.7250 0.2910  1 Sb 2.66, 1 Hg 2.96

Density functional theory data (GGA-PBE) for an optimized crystal structure of CePrGe2Pt2.

- Electronic total energy: -6.3860 eV/atom
- Formation energy: -1.048 eV/atom
- M_tot: 0.00 μB per cell

Unit cell a=4.3847 b=4.3847 c=7.8679 alpha=90.00 beta=90.00 gamma=120.00
With the nearest neighbours (Å) after each atom.
Space group P-3m1 (No. 164)
Asymmetric unit:
Ce1 0.0000 0.0000 0.0000  6 Pt 3.16, 6 Ge 3.16
Pr1 0.0000 0.0000 0.5000  6 Ge 3.25, 6 Pt 3.25
Ge1 0.3333 0.6667 0.2403  3 Pt 2.53
Pt1 0.3333 0.6667 0.7597  3 Ge 2.53

Density functional theory data (GGA-PBE) for an optimized crystal structure of Pm4HoTh.

- Electronic total energy: -5.1251 eV/atom
- Formation energy: 0.042 eV/atom
- Energy above the lowest structure with this stoichiometry: 0 meV per atom
- M_tot: 0.00 μB per cell

Unit cell a=11.4707 b=5.1392 c=7.1947 alpha=90.00 beta=108.50 gamma=90.00
With the nearest neighbours (Å) after each atom.
Space group C2/m (No. 12)
Asymmetric unit:
Pm1 0.1618 0.0000 0.3269  7 Pm 3.54-3.70, 2 Th 3.58, 3 Ho 3.62-3.68
Pm2 0.1647 0.0000 0.8368  7 Pm 3.54-3.67, 3 Th 3.60-3.65, 2 Ho 3.62
Ho1 0.0000 0.5000 0.5000  2 Th 3.60, 10 Pm 3.62-3.68
Th1 0.0000 0.5000 0.0000  10 Pm 3.58-3.65, 2 Ho 3.60

Density functional theory data (GGA-PBE) for an optimized crystal structure of BaNi2.

- Electronic total energy: -4.4144 eV/atom
- Formation energy: 0.081 eV/atom
- M_tot: 0.00 μB per cell

Unit cell a=11.4564 b=4.1233 c=6.0435 alpha=90.00 beta=113.63 gamma=90.00
With the nearest neighbours (Å) after each atom.
Space group C2/m (No. 12)
Asymmetric unit:
Ba1 0.1057 0.0000 0.3039  10 Ni 3.15-3.47, 1 Ba 3.50
Ni1 0.1057 0.5000 0.7094  4 Ni 2.43-2.71
Ni2 0.2146 0.0000 0.9007  5 Ni 2.36-2.45